# 1
Density functional theory data (PBEsol) for crystalline Tb3In at its relaxed geometry.

Geometry as POSCAR:
```
Tb3In
1.0
5.3711 0.0000 0.0000
0.0000 6.8242 0.0000
0.0000 -3.4121 5.9099
Tb In
6 2
Direct
0.2500 0.1734 0.3467
0.7500 0.8266 0.6533
0.2500 0.1734 0.8266
0.2500 0.6533 0.8266
0.7500 0.3467 0.1734
0.7500 0.8266 0.1734
0.7500 0.3333 0.6667
0.2500 0.6667 0.3333
```

Summary:
Its symmetry is P6_3/mmc (194).

***

# 2
Density functional theory data (PBEsol) for crystalline Al3CoI at its relaxed geometry.

Geometry as POSCAR:
```
Al3CoI
1.0
4.6455 0.0000 0.0000
0.0000 4.6455 0.0000
0.0000 0.0000 4.6455
Al I Co
3 1 1
Direct
0.0000 0.5000 0.0000
0.0000 0.0000 0.5000
0.5000 0.0000 0.0000
0.5000 0.5000 0.5000
0.0000 0.0000 0.0000
```

Summary:
The calculation puts the relative energy among the computed polymorphs at 0.000 eV per atom. As for the uncorrected formation energy: -0.0014 eV per atom. Its symmetry is Pm-3m (221).

***

no.,energy (eV/atom)
1,-4.797
2,-4.357